(1)
A plane-wave DFT calculation with GGA-PBE was carried out for an optimized crystal structure of LiSi.

Cell: 5.313 5.387 2.598 Å, 76.05 75.85 53.43°
Sites, in units of the cell vectors:
Li  0.940  0.554  0.753
Li  0.976  0.029  0.997
Si  0.477  0.536  0.493
Si  0.440  0.047  0.257

Summary:
ΔE_f (raw): -71 meV/atom

(2)
A plane-wave DFT calculation with GGA-PBE was carried out for an optimized crystal structure of NiRuS2N.

Cell: 4.764 4.764 3.609 Å, 90.00 90.00 90.00°
Each line ends with the local moment (μB).
Sites, in units of the cell vectors:
S  0.500  0.000  0.000  0.09
S  0.000  0.500  0.000  0.09
N  0.000  0.000  0.500  -0.01
Ru  0.000  0.000  0.000  -0.12
Ni  0.500  0.500  0.500  0.93

Summary:
ΔE_f (raw): 772 meV/atom

(3)
A plane-wave DFT calculation with GGA-PBE was carried out for an optimized crystal structure of Fe4Tc.

Cell: 4.423 4.423 4.423 Å, 99.52 99.52 132.01°
Each line ends with the local moment (μB).
Sites, in units of the cell vectors:
Tc  0.000  0.000  0.000  -0.43
Fe  0.198  0.402  0.600  1.71
Fe  0.598  0.198  0.796  1.71
Fe  0.802  0.598  0.400  1.71
Fe  0.402  0.802  0.204  1.71

Summary:
Energy of formation from the pure elements: 131 meV per atom

(4)
A plane-wave DFT calculation with GGA-PBE was carried out for an optimized crystal structure of Ti2AlSiSb.

Cell: 4.818 4.987 4.818 Å, 90.00 90.00 90.00°
Sites, in units of the cell vectors:
Sb  0.000  0.500  0.000
Ti  0.500  0.000  0.000
Ti  0.000  0.000  0.500
Al  0.000  0.000  0.000
Si  0.500  0.500  0.500

Summary:
ΔE_f (raw): 979 meV/atom

(5)
A plane-wave DFT calculation with GGA-PBE was carried out for an optimized crystal structure of Zn6IrAu3.

Cell: 6.717 6.680 7.699 Å, 90.00 87.88 90.00°
Sites, in units of the cell vectors:
Zn  0.865  0.663  0.921
Zn  0.761  0.420  0.255
Zn  0.261  0.080  0.755
Zn  0.651  0.132  0.943
Zn  0.849  0.632  0.557
Zn  0.635  0.163  0.579
Zn  0.365  0.837  0.421
Zn  0.135  0.337  0.079
Zn  0.739  0.920  0.245
Zn  0.349  0.868  0.057
Zn  0.239  0.580  0.745
Zn  0.151  0.368  0.443
Au  0.000  0.000  0.500
Au  0.555  0.822  0.743
Au  0.500  0.500  0.000
Au  0.055  0.678  0.243
Au  0.445  0.178  0.257
Au  0.945  0.322  0.757
Ir  0.500  0.500  0.500
Ir  0.000  0.000  0.000

Summary:
Energy of formation from the pure elements: -44 meV per atom

(6)
A plane-wave DFT calculation with GGA-PBE was carried out for an optimized crystal structure of TiNbSnPd.

Cell: 4.653 4.653 4.653 Å, 60.00 60.00 60.00°
Each line ends with the local moment (μB).
Sites, in units of the cell vectors:
Nb  0.000  0.000  0.000  0.46
Sn  0.750  0.750  0.750  -0.01
Pd  0.500  0.500  0.500  0.03
Ti  0.250  0.250  0.250  0.41

Summary:
Energy of formation from the pure elements: -149 meV per atom

no.,density of states at the Fermi level (states/eV/atom)
1,0.19
2,1.08
3,1.50
4,1.25
5,0.31
6,1.51